This record from Alexandria describes a relaxed Nd2Ho2Sc crystal. The functional is PBE.

a b c (Å): 3.5100 5.6416 31.9657
angles (deg): 90.00 90.00 90.00
With the nearest neighbours (Å) after each atom.
Space group Imma (No. 74)
Symmetry-distinct sites (fractional):
Nd 0.0000 0.2500 0.1855 [4 per cell]  6 Nd 3.39-3.51, 2 Ho 3.61
Nd 0.0000 0.2500 0.7059 [4 per cell]  8 Nd 3.32-3.51, 2 Ho 3.39
Ho 0.0000 0.2500 0.8847 [4 per cell]  1 Ho 3.06, 2 Nd 3.39
Ho 0.0000 0.2500 0.9803 [4 per cell]  3 Ho 3.06-3.09
Sc 0.0000 0.2500 0.4269 [4 per cell]  10 Ho 3.44-3.74, 2 Sc 3.51

## Properties
M_tot (μB/f.u.): 0.00
Crystal system: orthorhombic
ΔH_f (0 K) (kcal/mol of atoms): 4.49
Uncorrected energy (eV for the cell shown): -96.2
Theoretical density (g/cm³): 6.96

This record from Alexandria describes a relaxed Pm8DyCd2 crystal. The functional is PBE.

a b c (Å): 16.9471 5.3901 8.4862
angles (deg): 90.00 114.70 90.00
With the nearest neighbours (Å) after each atom.
Space group C2/m (No. 12)
Symmetry-distinct sites (fractional):
Pm 0.0540 0.0000 0.2383 [4 per cell]  1 Cd 3.34, 7 Pm 3.51-3.68
Pm 0.1020 0.5000 0.9675 [4 per cell]  3 Cd 3.32-3.41, 1 Dy 3.60, 2 Pm 3.67
Pm 0.1484 0.0000 0.7057 [4 per cell]  3 Cd 3.29-3.38, 5 Pm 3.57-3.66, 2 Dy 3.60
Pm 0.1876 0.5000 0.4551 [4 per cell]  1 Cd 3.19, 5 Pm 3.31-3.57, 1 Dy 3.36
Dy 0.0000 0.5000 0.5000 [2 per cell]  8 Pm 3.36-3.60
Cd 0.2225 0.0000 0.1309 [4 per cell]  8 Pm 3.19-3.41

## Properties
M_tot (μB/f.u.): 0.00
Crystal system: monoclinic
ΔH_f (0 K) (kcal/mol of atoms): -1.65
Uncorrected energy (eV for the cell shown): -90.5
Theoretical density (g/cm³): 7.30

This record from Alexandria describes a relaxed Mg3NiPd12 crystal. The functional is PBE.

a b c (Å): 3.9498 3.9498 15.7716
angles (deg): 90.00 90.00 90.00
With the nearest neighbours (Å) after each atom.
Space group P4/mmm (No. 123)
Symmetry-distinct sites (fractional):
Mg 0.0000 0.0000 0.0000 [1 per cell]  12 Pd 2.79-2.82
Mg 0.0000 0.0000 0.2538 [2 per cell]  12 Pd 2.79-2.82
Ni 0.0000 0.0000 0.5000 [1 per cell]  12 Pd 2.72-2.79
Pd 0.0000 0.5000 0.1272 [4 per cell]  8 Pd 2.79-2.82, 4 Mg 2.81-2.82
Pd 0.0000 0.5000 0.3810 [4 per cell]  2 Ni 2.72, 8 Pd 2.72-2.81, 2 Mg 2.82
Pd 0.5000 0.5000 0.0000 [1 per cell]  4 Mg 2.79, 8 Pd 2.82
Pd 0.5000 0.5000 0.2542 [2 per cell]  4 Mg 2.79, 8 Pd 2.81
Pd 0.5000 0.5000 0.5000 [1 per cell]  8 Pd 2.72, 4 Ni 2.79

## Properties
M_tot (μB/f.u.): 0.89
Crystal system: tetragonal
ΔH_f (0 K) (kcal/mol of atoms): -7.93
Uncorrected energy (eV for the cell shown): -78.4
Theoretical density (g/cm³): 9.51

This record from Alexandria describes a relaxed CsPmAlTe4 crystal. The functional is PBE.

a b c (Å): 7.7737 6.6273 10.8638
angles (deg): 90.00 105.84 90.00
With the nearest neighbours (Å) after each atom.
Space group P2_1/m (No. 11)
Symmetry-distinct sites (fractional):
Cs 0.2420 0.2500 0.0503 [2 per cell]  8 Te 3.80-4.15
Pm 0.2506 0.2500 0.5493 [2 per cell]  8 Te 3.19-3.55
Al 0.2630 0.7500 0.3365 [2 per cell]  4 Te 2.56-2.68
Te 0.0111 0.5089 0.7022 [4 per cell]  1 Al 2.68
Te 0.4217 0.7500 0.5801 [2 per cell]  1 Al 2.60
Te 0.4564 0.7500 0.1798 [2 per cell]  1 Al 2.56

## Properties
M_tot (μB/f.u.): 0.00
Crystal system: monoclinic
Raw formation energy (meV/atom): -965
Uncorrected energy (eV for the cell shown): -57.3
Theoretical density (g/cm³): 5.03

This record from Alexandria describes a relaxed SrCrSi crystal. The functional is PBE.

a b c (Å): 4.3402 4.3402 4.6661
angles (deg): 90.00 90.00 120.00
With the nearest neighbours (Å) after each atom.
Space group P-6m2 (No. 187)
Symmetry-distinct sites (fractional):
Sr 0.0000 0.0000 0.0000 [1 per cell]  6 Cr 3.42, 6 Si 3.42
Cr 0.6667 0.3333 0.5000 [1 per cell]  3 Si 2.51
Si 0.3333 0.6667 0.5000 [1 per cell]  3 Cr 2.51

## Properties
M_tot (μB/f.u.): 3.93
Crystal system: hexagonal
Raw formation energy (meV/atom): 29
Uncorrected energy (eV for the cell shown): -16.6
Theoretical density (g/cm³): 3.66

This record from Alexandria describes a relaxed LiSeBr2F crystal. The functional is PBE.

a b c (Å): 5.7794 5.7794 3.9046
angles (deg): 90.00 90.00 90.00
With the nearest neighbours (Å) after each atom.
Space group P4/mmm (No. 123)
Symmetry-distinct sites (fractional):
Li 0.0000 0.0000 0.0000 [1 per cell]  8 Br 3.49, 2 Li 3.90
Se 0.5000 0.5000 0.0000 [1 per cell]  2 F 1.95
Br 0.0000 0.5000 0.5000 [2 per cell]  2 F 2.89
F 0.5000 0.5000 0.5000 [1 per cell]  2 Se 1.95

## Properties
M_tot (μB/f.u.): 1.14
Crystal system: tetragonal
Raw formation energy (meV/atom): -354
Uncorrected energy (eV for the cell shown): -12.4
Theoretical density (g/cm³): 3.37

This record from Alexandria describes a relaxed Ca2SmPd crystal. The functional is PBE.

a b c (Å): 7.6245 9.8536 6.5442
angles (deg): 90.00 90.00 90.00
With the nearest neighbours (Å) after each atom.
Space group Pnma (No. 62)
Symmetry-distinct sites (fractional):
Ca 0.1775 0.0644 0.1627 [8 per cell]  2 Pd 3.02-3.08
Sm 0.0397 0.2500 0.6433 [4 per cell]  2 Pd 2.86-2.88
Pd 0.1202 0.7500 0.9588 [4 per cell]  2 Sm 2.86-2.88, 4 Ca 3.02-3.08

## Properties
M_tot (μB/f.u.): 0.00
Crystal system: orthorhombic
ΔH_f (0 K) (kcal/mol of atoms): -8.96
Uncorrected energy (eV for the cell shown): -61.9
Theoretical density (g/cm³): 4.55

This record from Alexandria describes a relaxed Pr4Ho2Sc3 crystal. The functional is PBE.

a b c (Å): 10.9899 5.0359 10.5247
angles (deg): 90.00 107.56 90.00
With the nearest neighbours (Å) after each atom.
Space group C2/m (No. 12)
Symmetry-distinct sites (fractional):
Pr 0.0069 0.0000 0.3363 [4 per cell]  6 Sc 3.45-3.55, 3 Ho 3.48-3.52, 3 Pr 3.49-3.57
Pr 0.1655 0.5000 0.8871 [4 per cell]  4 Sc 3.51-3.53, 4 Ho 3.52-3.58, 4 Pr 3.57
Ho 0.1710 0.5000 0.2289 [4 per cell]  5 Sc 3.41-3.60, 7 Pr 3.48-3.58
Sc 0.0000 0.0000 0.0000 [2 per cell]  8 Pr 3.51-3.52, 4 Ho 3.60
Sc 0.1642 0.5000 0.5510 [4 per cell]  3 Ho 3.41-3.53, 3 Sc 3.44-3.50, 6 Pr 3.45-3.55

## Properties
M_tot (μB/f.u.): 0.00
Crystal system: monoclinic
ΔH_f (0 K) (kcal/mol of atoms): 1.24
Uncorrected energy (eV for the cell shown): -93.6
Theoretical density (g/cm³): 6.15

This record from Alexandria describes a relaxed NaCeTlIn crystal. The functional is PBE.

a b c (Å): 7.6370 7.6370 7.6370
angles (deg): 90.00 90.00 90.00
With the nearest neighbours (Å) after each atom.
Space group F-43m (No. 216)
Symmetry-distinct sites (fractional):
Na 0.0000 0.0000 0.0000 [4 per cell]  4 Tl 3.31, 4 In 3.31
Ce 0.0000 0.0000 0.5000 [4 per cell]  4 Tl 3.31, 4 In 3.31
Tl 0.2500 0.2500 0.2500 [4 per cell]  4 Ce 3.31, 4 Na 3.31
In 0.2500 0.2500 0.7500 [4 per cell]  4 Ce 3.31, 4 Na 3.31

## Properties
M_tot (μB/f.u.): 0.99
Crystal system: cubic
ΔH_f (0 K) (kcal/mol of atoms): -4.61
Uncorrected energy (eV for the cell shown): -52.6
Theoretical density (g/cm³): 7.19

This record from Alexandria describes a relaxed RbCd3Si crystal. The functional is PBE.

a b c (Å): 6.8270 6.8270 6.8270
angles (deg): 90.00 90.00 90.00
With the nearest neighbours (Å) after each atom.
Space group Pm-3m (No. 221)
Symmetry-distinct sites (fractional):
Rb 0.0000 0.0000 0.0000 [1 per cell]  6 Cd 3.41
Cd 0.0000 0.0000 0.5000 [3 per cell]  2 Rb 3.41
Si 0.5000 0.5000 0.5000 [1 per cell]  12 Cd 4.83

## Properties
M_tot (μB/f.u.): 2.92
Crystal system: cubic
Raw formation energy (meV/atom): 1126
Uncorrected energy (eV for the cell shown): -3.5
Theoretical density (g/cm³): 2.35

This record from Alexandria describes a relaxed Nd4InCu2 crystal. The functional is PBE.

a b c (Å): 5.0973 5.0973 26.8118
angles (deg): 90.00 90.00 120.00
With the nearest neighbours (Å) after each atom.
Space group R-3m (No. 166, hexagonal axes)
Symmetry-distinct sites (fractional):
Nd 0.0000 0.0000 0.1171 [6 per cell]  3 Cu 3.23, 3 In 3.23, 3 Nd 3.59
Nd 0.0000 0.0000 0.2930 [6 per cell]  4 Cu 2.89-3.03
In 0.0000 0.0000 0.5000 [3 per cell]  2 Cu 2.66
Cu 0.0000 0.0000 0.4009 [6 per cell]  1 In 2.66, 1 Nd 2.89

## Properties
M_tot (μB/f.u.): 0.00
Crystal system: trigonal
ΔH_f (0 K) (kcal/mol of atoms): -1.49
Uncorrected energy (eV for the cell shown): -91.4
Theoretical density (g/cm³): 6.76

This record from Alexandria describes a relaxed RbCrBr2 crystal. The functional is PBE.

a b c (Å): 5.2363 5.2363 25.0763
angles (deg): 90.00 90.00 120.00
With the nearest neighbours (Å) after each atom.
Space group R-3m (No. 166, hexagonal axes)
Symmetry-distinct sites (fractional):
Rb 0.0000 0.0000 0.0000 [3 per cell]  6 Br 3.48
Cr 0.0000 0.0000 0.5000 [3 per cell]  2 Br 2.46
Br 0.0000 0.0000 0.4020 [6 per cell]  1 Cr 2.46

## Properties
M_tot (μB/f.u.): 5.00
Crystal system: trigonal
Raw formation energy (meV/atom): -751
Uncorrected energy (eV for the cell shown): -50.8
Theoretical density (g/cm³): 2.49